First-principles (GGA-PBE) data for Tl2ReAu after structural relaxation, as listed in Alexandria via LeMat-Bulk.

The energy of formation from the pure elements comes out at 0.79 eV per atom. As for the density of states at the Fermi level: 8.37 states/eV per cell. The calculation puts the total energy at -4.327 eV/atom. As for the theoretical density: 16147 kg/m³. The value obtained for the energy above the most stable polymorph in this dataset is 0.111 eV/atom.

The space group is R-3m (No. 166, hexagonal axes) and the conventional cell measures 3.1298, 3.1298 and 28.8001 Å, with angles of 90.00, 90.00 and 120.00 degrees. Symmetry generates all atoms from Tl at (0.0000, 0.0000, 0.2468), Re at (0.0000, 0.0000, 0.5000) and Au at (0.0000, 0.0000, 0.0000).